1.
## Tb2BeTe (PBE)

Data for a geometry-optimized Tb2BeTe structure.

Output
Energy, eV per cell: -45.12
Calculated volume, Å³/f.u.: 130.7

a b c (Å): 3.9377 3.9377 29.1996
angles (deg): 90.00 90.00 120.00
Space group R-3m (No. 166, hexagonal axes)
Symmetry-distinct sites (fractional):
Tb (0.0000, 0.0000, 0.0981) x6
Be (0.0000, 0.0000, 0.0000) x3
Te (0.0000, 0.0000, 0.5000) x3

---

2.
## TbBeTe2 (PBE)

Data for a geometry-optimized TbBeTe2 structure.

Output
Energy, eV per cell: -44.66
Calculated volume, Å³/f.u.: 111.6

a b c (Å): 3.7794 3.7794 27.0601
angles (deg): 90.00 90.00 120.00
Space group R-3m (No. 166, hexagonal axes)
Symmetry-distinct sites (fractional):
Tb (0.0000, 0.0000, 0.0000) x3
Be (0.0000, 0.0000, 0.5000) x3
Te (0.0000, 0.0000, 0.1120) x6

---

3.
## TbThBe (PBE)

Data for a geometry-optimized TbThBe structure.

Output
Calculated formation energy, kcal/mol of atoms: 3.66
Energy, eV per cell: -30.60
Calculated volume, Å³/f.u.: 73.9

a b c (Å): 3.481 3.481 12.195
angles (deg): 90.00 90.00 90.00
Space group I4mm (No. 107)
Symmetry-distinct sites (fractional):
Tb (0.000, 0.000, 0.000) x2
Th (0.000, 0.000, 0.282) x2
Be (0.000, 0.000, 0.638) x2

---

4.
## Tb2ThBe (PBE)

Data for a geometry-optimized Tb2ThBe structure.

Output
Polymorph energy (0 for the lowest one), meV per atom: 593
Calculated formation energy, kcal/mol of atoms: 15.74
Energy, eV per cell: -53.03
Calculated volume, Å³/f.u.: 119.3

a b c (Å): 3.5008 3.5008 33.7118
angles (deg): 90.00 90.00 120.00
Space group R-3m (No. 166, hexagonal axes)
Symmetry-distinct sites (fractional):
Tb (0.0000, 0.0000, 0.0847) x6
Th (0.0000, 0.0000, 0.5000) x3
Be (0.0000, 0.0000, 0.0000) x3

---

5.
## Tb2ThBe (PBE)

Data for a geometry-optimized Tb2ThBe structure.

Output
Polymorph energy (0 for the lowest one), meV per atom: 0
Calculated formation energy, kcal/mol of atoms: 2.07
Energy, eV per cell: -20.05
Calculated volume, Å³/f.u.: 103.1

a b c (Å): 3.473 3.473 8.544
angles (deg): 90.00 90.00 90.00
Space group P4/mmm (No. 123)
Symmetry-distinct sites (fractional):
Tb (0.000, 0.000, 0.196) x2
Th (0.500, 0.500, 0.500) x1
Be (0.500, 0.500, 0.000) x1

---

6.
## TbTiBe (PBE)

Data for a geometry-optimized TbTiBe structure.

Output
Calculated formation energy, kcal/mol of atoms: 4.37
Energy, eV per cell: -31.37
Calculated volume, Å³/f.u.: 56.3

a b c (Å): 3.177 3.177 11.148
angles (deg): 90.00 90.00 90.00
Space group P4/mmm (No. 123)
Symmetry-distinct sites (fractional):
Tb (0.000, 0.000, 0.172) x2
Ti (0.500, 0.500, 0.380) x2
Be (0.000, 0.000, 0.500) x1
Be (0.500, 0.500, 0.000) x1

---

7.
## TbTiBe17 (PBE)

Data for a geometry-optimized TbTiBe17 structure.

Output
Calculated formation energy, kcal/mol of atoms: -3.48
Energy, eV per cell: -236.20
Calculated volume, Å³/f.u.: 180.9

a b c (Å): 7.5477 7.5477 11.0031
angles (deg): 90.00 90.00 120.00
Space group R3m (No. 160, hexagonal axes)
Symmetry-distinct sites (fractional):
Tb (0.0000, 0.0000, 0.0000) x3
Ti (0.0000, 0.0000, 0.6732) x3
Be (0.0000, 0.0000, 0.2464) x3
Be (0.0000, 0.0000, 0.4397) x3
Be (0.0039, 0.2886, 0.3392) x18
Be (0.0040, 0.5020, 0.4962) x9
Be (0.0054, 0.5027, 0.1808) x9
Be (0.1682, 0.3363, 0.1740) x9

---

8.
## TbTiBe2 (PBE)

Data for a geometry-optimized TbTiBe2 structure.

Output
Calculated formation energy, kcal/mol of atoms: 0.63
Energy, eV per cell: -19.87
Calculated volume, Å³/f.u.: 63.8

a b c (Å): 3.177 3.177 6.321
angles (deg): 90.00 90.00 90.00
Space group P4/mmm (No. 123)
Symmetry-distinct sites (fractional):
Tb (0.000, 0.000, 0.000) x1
Ti (0.000, 0.000, 0.500) x1
Be (0.500, 0.500, 0.309) x2

---

9.
## TbTm2Be (PBE)

Data for a geometry-optimized TbTm2Be structure.

Output
Polymorph energy (0 for the lowest one), meV per atom: 628
Calculated formation energy, kcal/mol of atoms: 15.77
Energy, eV per cell: -43.69
Calculated volume, Å³/f.u.: 112.9

a b c (Å): 3.4001 3.4001 33.8269
angles (deg): 90.00 90.00 120.00
Space group R-3m (No. 166, hexagonal axes)
Symmetry-distinct sites (fractional):
Tb (0.0000, 0.0000, 0.0000) x3
Tm (0.0000, 0.0000, 0.4160) x6
Be (0.0000, 0.0000, 0.5000) x3

---

10.
## TbTm2Be (PBE)

Data for a geometry-optimized TbTm2Be structure.

Output
Polymorph energy (0 for the lowest one), meV per atom: 0
Calculated formation energy, kcal/mol of atoms: 1.29
Energy, eV per cell: -17.08
Calculated volume, Å³/f.u.: 99.8

a b c (Å): 3.418 3.418 8.543
angles (deg): 90.00 90.00 90.00
Space group P4/mmm (No. 123)
Symmetry-distinct sites (fractional):
Tb (0.000, 0.000, 0.000) x1
Tm (0.500, 0.500, 0.308) x2
Be (0.000, 0.000, 0.500) x1

---

11.
## TbTmBe4 (PBE)

Data for a geometry-optimized TbTmBe4 structure.

Output
Calculated formation energy, kcal/mol of atoms: 1.84
Energy, eV per cell: -94.11
Calculated volume, Å³/f.u.: 89.0

a b c (Å): 7.086 7.086 7.086
angles (deg): 90.00 90.00 90.00
Space group F-43m (No. 216)
Symmetry-distinct sites (fractional):
Tb (0.000, 0.000, 0.000) x4
Tm (0.250, 0.250, 0.250) x4
Be (0.125, 0.125, 0.625) x16

---

12.
## TbTmBe (PBE)

Data for a geometry-optimized TbTmBe structure.

Output
Calculated formation energy, kcal/mol of atoms: 1.87
Energy, eV per cell: -25.17
Calculated volume, Å³/f.u.: 70.6

a b c (Å): 3.441 3.441 11.923
angles (deg): 90.00 90.00 90.00
Space group I4mm (No. 107)
Symmetry-distinct sites (fractional):
Tb (0.000, 0.000, 0.000) x2
Tm (0.000, 0.000, 0.272) x2
Be (0.000, 0.000, 0.641) x2

---

13.
## TbBe2V (PBE)

Data for a geometry-optimized TbBe2V structure.

Output
Calculated formation energy, kcal/mol of atoms: 13.83
Energy, eV per cell: -56.41
Calculated volume, Å³/f.u.: 63.8

a b c (Å): 3.1474 3.1474 22.3137
angles (deg): 90.00 90.00 120.00
Space group R-3m (No. 166, hexagonal axes)
Symmetry-distinct sites (fractional):
Tb (0.0000, 0.0000, 0.0000) x3
Be (0.0000, 0.0000, 0.2360) x6
V (0.0000, 0.0000, 0.5000) x3

---

14.
## Tb2YBe (PBE)

Data for a geometry-optimized Tb2YBe structure.

Output
Polymorph energy (0 for the lowest one), meV per atom: 616
Calculated formation energy, kcal/mol of atoms: 15.93
Energy, eV per cell: -50.06
Calculated volume, Å³/f.u.: 117.6

a b c (Å): 3.4421 3.4421 34.3767
angles (deg): 90.00 90.00 120.00
Space group R-3m (No. 166, hexagonal axes)
Symmetry-distinct sites (fractional):
Tb (0.0000, 0.0000, 0.0842) x6
Y (0.0000, 0.0000, 0.5000) x3
Be (0.0000, 0.0000, 0.0000) x3

---

15.
## Tb2YBe (PBE)

Data for a geometry-optimized Tb2YBe structure.

Output
Polymorph energy (0 for the lowest one), meV per atom: 0
Calculated formation energy, kcal/mol of atoms: 1.73
Energy, eV per cell: -19.15
Calculated volume, Å³/f.u.: 104.8

a b c (Å): 3.497 3.497 8.571
angles (deg): 90.00 90.00 90.00
Space group P4/mmm (No. 123)
Symmetry-distinct sites (fractional):
Tb (0.000, 0.000, 0.192) x2
Y (0.500, 0.500, 0.500) x1
Be (0.500, 0.500, 0.000) x1

---

16.
## TbYBe2 (PBE)

Data for a geometry-optimized TbYBe2 structure.

Output
Calculated formation energy, kcal/mol of atoms: 2.36
Energy, eV per cell: -72.55
Calculated volume, Å³/f.u.: 80.2

a b c (Å): 6.847 6.847 6.847
angles (deg): 90.00 90.00 90.00
Space group Fm-3m (No. 225)
Symmetry-distinct sites (fractional):
Tb (0.000, 0.000, 0.000) x4
Y (0.000, 0.000, 0.500) x4
Be (0.250, 0.250, 0.250) x8

---

17.
## TbYBeZn (PBE)

Data for a geometry-optimized TbYBeZn structure.

Output
Calculated formation energy, kcal/mol of atoms: -2.56
Energy, eV per cell: -66.16
Calculated volume, Å³/f.u.: 86.4

a b c (Å): 7.019 7.019 7.019
angles (deg): 90.00 90.00 90.00
Space group F-43m (No. 216)
Symmetry-distinct sites (fractional):
Tb (0.000, 0.000, 0.000) x4
Y (0.000, 0.000, 0.500) x4
Be (0.250, 0.250, 0.250) x4
Zn (0.250, 0.250, 0.750) x4

---

18.
## Tb2BeZn (PBE)

Data for a geometry-optimized Tb2BeZn structure.

Output
Polymorph energy (0 for the lowest one), meV per atom: 0
Calculated formation energy, kcal/mol of atoms: -2.62
Energy, eV per cell: -14.71
Calculated volume, Å³/f.u.: 85.5

a b c (Å): 3.470 3.470 7.100
angles (deg): 90.00 90.00 90.00
Space group P4/mmm (No. 123)
Symmetry-distinct sites (fractional):
Tb (0.000, 0.000, 0.233) x2
Be (0.500, 0.500, 0.000) x1
Zn (0.500, 0.500, 0.500) x1